# 1
# Th2IrI | Alexandria | PBE-GGA | relaxed
data_Th2IrI
_chemical_formula_sum 'Th2 Ir1 I1'
_cell_length_a 4.1343
_cell_length_b 4.1343
_cell_length_c 8.3776
_cell_angle_alpha 90.00
_cell_angle_beta 90.00
_cell_angle_gamma 120.00
_space_group_name_H-M_alt 'P -3 m 1'
_space_group_IT_number 164
_space_group_name_Hall '-P 3 2"'
loop_
_atom_site_label
_atom_site_type_symbol
_atom_site_fract_x
_atom_site_fract_y
_atom_site_fract_z
Th1 Th 0.3333 0.6667 0.3134
Ir1 Ir 0.0000 0.0000 0.5000
I1 I 0.0000 0.0000 0.0000
# Energy relative to the elements, uncorrected = -0.905 eV per atom
# Total energy = -7.2181 eV/atom
# Theoretical density = 10.49 Mg/m³


# 2
# ReW | Alexandria | PBE-GGA | relaxed
data_ReW
_chemical_formula_sum 'Re4 W4'
_cell_length_a 3.950
_cell_length_b 3.950
_cell_length_c 8.042
_cell_angle_alpha 90.00
_cell_angle_beta 90.00
_cell_angle_gamma 90.00
_space_group_name_H-M_alt 'I 41/a m d'
_space_group_IT_number 141
loop_
_space_group_symop_operation_xyz
'x,y,z'
'-x,-y,-z'
'-y+1/4,x+3/4,z+1/4'
'y+1/4,-x+3/4,-z+1/4'
'-x+1/2,-y,z+1/2'
'x+1/2,y,-z+1/2'
'y+1/4,-x+1/4,z+3/4'
'-y+1/4,x+1/4,-z+3/4'
'x,-y,-z'
'-x,y,z'
'-y+1/4,-x+1/4,-z+3/4'
'y+1/4,x+1/4,z+3/4'
'-x+1/2,y,-z+1/2'
'x+1/2,-y,z+1/2'
'y+1/4,x+3/4,-z+1/4'
'-y+1/4,-x+3/4,z+1/4'
'x+1/2,y+1/2,z+1/2'
'-x+1/2,-y+1/2,-z+1/2'
'-y+3/4,x+1/4,z+3/4'
'y+3/4,-x+1/4,-z+3/4'
'-x,-y+1/2,z'
'x,y+1/2,-z'
'y+3/4,-x+3/4,z+1/4'
'-y+3/4,x+3/4,-z+1/4'
'x+1/2,-y+1/2,-z+1/2'
'-x+1/2,y+1/2,z+1/2'
'-y+3/4,-x+3/4,-z+1/4'
'y+3/4,x+3/4,z+1/4'
'-x,y+1/2,-z'
'x,-y+1/2,z'
'y+3/4,x+1/4,-z+3/4'
'-y+3/4,-x+1/4,z+3/4'
loop_
_atom_site_label
_atom_site_type_symbol
_atom_site_fract_x
_atom_site_fract_y
_atom_site_fract_z
Re1 Re 0.000 0.250 0.375
W1 W 0.000 0.250 0.875
# Total energy = -12.4795 eV/atom
# Formation energy = 221 meV/atom
# Energy relative to the lowest polymorph listed for this composition = 129.0 meV/atom
# Theoretical density = 19.58 Mg/m³


# 3
# Pr3Er8Tm | Alexandria | PBE-GGA | relaxed
data_Pr3Er8Tm
_chemical_formula_sum 'Pr6 Er16 Tm2'
_cell_length_a 8.752
_cell_length_b 8.752
_cell_length_c 11.289
_cell_angle_alpha 90.00
_cell_angle_beta 90.00
_cell_angle_gamma 90.00
_space_group_name_H-M_alt 'I -4 2 m'
_space_group_IT_number 121
_space_group_name_Hall 'I -4 2'
loop_
_atom_site_label
_atom_site_type_symbol
_atom_site_fract_x
_atom_site_fract_y
_atom_site_fract_z
Pr1 Pr 0.000 0.000 0.000
Pr2 Pr 0.000 0.500 0.250
Er1 Er 0.126 0.126 0.257
Er2 Er 0.242 0.242 0.515
Tm1 Tm 0.000 0.000 0.500
# Total energy = -3.9827 eV/atom
# Formation energy = 627 meV/atom
# Theoretical density = 7.41 Mg/m³


# 4
# TlVCuSi2 | Alexandria | PBE-GGA | relaxed
data_TlVCuSi2
_chemical_formula_sum 'Tl1 V1 Cu1 Si2'
_cell_length_a 4.605
_cell_length_b 4.605
_cell_length_c 5.208
_cell_angle_alpha 90.00
_cell_angle_beta 90.00
_cell_angle_gamma 90.00
_space_group_name_H-M_alt 'P 4/m m m'
_space_group_IT_number 123
_space_group_name_Hall '-P 4 2'
loop_
_atom_site_label
_atom_site_type_symbol
_atom_site_fract_x
_atom_site_fract_y
_atom_site_fract_z
Tl1 Tl 0.000 0.000 0.000
V1 V 0.000 0.000 0.500
Cu1 Cu 0.500 0.500 0.000
Si1 Si 0.000 0.500 0.500
# Energy relative to the elements, uncorrected = 0.799 eV per atom
# Total energy = -4.4862 eV/atom
# Theoretical density = 5.64 Mg/m³


# 5
# Ba2In2Ge | Alexandria | PBE-GGA | relaxed
data_Ba2In2Ge
_chemical_formula_sum 'Ba4 In4 Ge2'
_cell_length_a 7.895
_cell_length_b 7.895
_cell_length_c 5.531
_cell_angle_alpha 90.00
_cell_angle_beta 90.00
_cell_angle_gamma 90.00
_space_group_name_H-M_alt 'P 4/m b m'
_space_group_IT_number 127
_space_group_name_Hall '-P 4 2ab'
loop_
_atom_site_label
_atom_site_type_symbol
_atom_site_fract_x
_atom_site_fract_y
_atom_site_fract_z
Ba1 Ba 0.177 0.323 0.000
In1 In 0.134 0.634 0.500
Ge1 Ge 0.000 0.000 0.500
# Total energy = -3.0784 eV/atom
# Formation energy = -290 meV/atom
# Energy relative to the lowest polymorph listed for this composition = 166.1 meV/atom
# Theoretical density = 5.56 Mg/m³


# 6
# KPtW2 | Alexandria | PBE-GGA | relaxed
data_KPtW2
_chemical_formula_sum 'K4 Pt4 W8'
_cell_length_a 4.536
_cell_length_b 4.536
_cell_length_c 19.176
_cell_angle_alpha 90.00
_cell_angle_beta 90.00
_cell_angle_gamma 90.00
_space_group_name_H-M_alt 'I -4 2 d'
_space_group_IT_number 122
_space_group_name_Hall 'I -4 2bw'
loop_
_atom_site_label
_atom_site_type_symbol
_atom_site_fract_x
_atom_site_fract_y
_atom_site_fract_z
K1 K 0.000 0.000 0.000
Pt1 Pt 0.000 0.000 0.500
W1 W 0.096 0.250 0.625
# Total energy = -6.7631 eV/atom
# Formation energy = 1498 meV/atom
# Energy relative to the lowest polymorph listed for this composition = 985.1 meV/atom
# Theoretical density = 10.13 Mg/m³


# 7
# LaCN3 | Alexandria | PBE-GGA | relaxed
data_LaCN3
_chemical_formula_sum 'La2 C2 N6'
_cell_length_a 4.201
_cell_length_b 5.358
_cell_length_c 6.584
_cell_angle_alpha 90.00
_cell_angle_beta 104.68
_cell_angle_gamma 90.00
_space_group_name_H-M_alt 'P 1 21/m 1'
_space_group_IT_number 11
_space_group_name_Hall '-P 2yb'
loop_
_atom_site_label
_atom_site_type_symbol
_atom_site_fract_x
_atom_site_fract_y
_atom_site_fract_z
La1 La 0.159 0.250 0.290
C1 C 0.290 0.250 0.760
N1 N 0.134 0.250 0.911
N2 N 0.351 0.030 0.681
# Energy relative to the elements, uncorrected = -0.234 eV per atom
# Total energy = -8.0591 eV/atom
# Theoretical density = 4.47 Mg/m³


# 8
# SrTiNb2 | Alexandria | PBE-GGA | relaxed
data_SrTiNb2
_chemical_formula_sum 'Sr4 Ti4 Nb8'
_cell_length_a 6.979
_cell_length_b 6.979
_cell_length_c 6.979
_cell_angle_alpha 90.00
_cell_angle_beta 90.00
_cell_angle_gamma 90.00
_space_group_name_H-M_alt 'F m -3 m'
_space_group_IT_number 225
_space_group_name_Hall '-F 4 2 3'
loop_
_atom_site_label
_atom_site_type_symbol
_atom_site_fract_x
_atom_site_fract_y
_atom_site_fract_z
Sr1 Sr 0.000 0.000 0.000
Ti1 Ti 0.000 0.000 0.500
Nb1 Nb 0.250 0.250 0.250
# Total energy = -6.4840 eV/atom
# Formation energy = 945 meV/atom
# Energy relative to the lowest polymorph listed for this composition = 0.0 meV/atom
# Theoretical density = 6.28 Mg/m³


# 9
# TmMgScAl | Alexandria | PBE-GGA | relaxed
data_TmMgScAl
_chemical_formula_sum 'Tm4 Mg4 Sc4 Al4'
_cell_length_a 7.096
_cell_length_b 7.096
_cell_length_c 7.096
_cell_angle_alpha 90.00
_cell_angle_beta 90.00
_cell_angle_gamma 90.00
_space_group_name_H-M_alt 'F -4 3 m'
_space_group_IT_number 216
_space_group_name_Hall 'F -4 2 3'
loop_
_atom_site_label
_atom_site_type_symbol
_atom_site_fract_x
_atom_site_fract_y
_atom_site_fract_z
Tm1 Tm 0.000 0.000 0.000
Mg1 Mg 0.250 0.250 0.250
Sc1 Sc 0.000 0.000 0.500
Al1 Al 0.250 0.250 0.750
# Total energy = -4.2982 eV/atom
# Formation energy = -263 meV/atom
# Theoretical density = 4.93 Mg/m³


# 10
# BaCoGe | Alexandria | PBE-GGA | relaxed
data_BaCoGe
_chemical_formula_sum 'Ba4 Co4 Ge4'
_cell_length_a 12.558
_cell_length_b 4.237
_cell_length_c 5.986
_cell_angle_alpha 90.00
_cell_angle_beta 103.83
_cell_angle_gamma 90.00
_space_group_name_H-M_alt 'C 1 2/m 1'
_space_group_IT_number 12
_space_group_name_Hall '-C 2y'
loop_
_atom_site_label
_atom_site_type_symbol
_atom_site_fract_x
_atom_site_fract_y
_atom_site_fract_z
Ba1 Ba 0.104 0.000 0.311
Co1 Co 0.207 0.000 0.898
Ge1 Ge 0.130 0.500 0.815
# Total energy = -4.8792 eV/atom
# Formation energy = -331 meV/atom
# Theoretical density = 5.78 Mg/m³


# 11
# Sm12TlCu6 | Alexandria | PBE-GGA | relaxed
data_Sm12TlCu6
_chemical_formula_sum 'Sm24 Tl2 Cu12'
_cell_length_a 10.096
_cell_length_b 10.096
_cell_length_c 10.096
_cell_angle_alpha 90.00
_cell_angle_beta 90.00
_cell_angle_gamma 90.00
_space_group_name_H-M_alt 'I m -3'
_space_group_IT_number 204
_space_group_name_Hall '-I 2 2 3'
loop_
_atom_site_label
_atom_site_type_symbol
_atom_site_fract_x
_atom_site_fract_y
_atom_site_fract_z
Sm1 Sm 0.000 0.299 0.189
Tl1 Tl 0.000 0.000 0.000
Cu1 Cu 0.000 0.122 0.500
# Total energy = -4.5385 eV/atom
# Formation energy = -140 meV/atom
# Theoretical density = 7.71 Mg/m³


# 12
# Ho4Er5Sc2 | Alexandria | PBE-GGA | relaxed
data_Ho4Er5Sc2
_chemical_formula_sum 'Ho8 Er10 Sc4'
_cell_length_a 23.154
_cell_length_b 3.453
_cell_length_c 8.374
_cell_angle_alpha 90.00
_cell_angle_beta 94.78
_cell_angle_gamma 90.00
_space_group_name_H-M_alt 'C 1 2/m 1'
_space_group_IT_number 12
_space_group_name_Hall '-C 2y'
loop_
_atom_site_label
_atom_site_type_symbol
_atom_site_fract_x
_atom_site_fract_y
_atom_site_fract_z
Ho1 Ho 0.038 0.000 0.346
Ho2 Ho 0.129 0.000 0.040
Er1 Er 0.000 0.500 0.000
Er2 Er 0.183 0.000 0.477
Er3 Er 0.224 0.500 0.828
Sc1 Sc 0.088 0.500 0.693
# Total energy = -4.7831 eV/atom
# Formation energy = 107 meV/atom
# Energy relative to the lowest polymorph listed for this composition = 0.0 meV/atom
# Theoretical density = 7.90 Mg/m³